No. 1
UNbB4, optimized geometry, DFT GGA-PBE; ρ = 9.79 g/cm³; calculated volume = 10.578 Å³ per atom; E_form = -3.38 eV/f.u.; total magnetization = 0.028 μB/atom
1.0
3.166 0.000 0.000
0.000 3.166 0.000
0.000 0.000 12.664
U Nb B
2 2 8
Cartesian
0.000 0.000 0.000
1.583 1.583 6.332
0.000 1.583 9.498
1.583 0.000 3.166
0.000 0.000 4.900
0.000 0.000 7.763
0.000 1.583 2.190
0.000 1.583 4.142
1.583 0.000 8.521
1.583 0.000 10.474
1.583 1.583 1.432
1.583 1.583 11.232

No. 2
Nd2Er3Mg2, optimized geometry, DFT GGA-PBE; ρ = 6.59 g/cm³; calculated volume = 30.187 Å³ per atom; E_form = 0.20 eV/f.u.; total magnetization = 0.000 μB/atom
1.0
3.519 0.000 0.000
0.000 34.414 0.000
0.000 0.000 3.489
Nd Er Mg
4 6 4
Cartesian
0.000 7.029 0.000
0.000 27.385 0.000
1.760 10.178 0.000
1.760 24.236 0.000
0.000 2.440 0.000
0.000 17.207 1.745
0.000 31.974 0.000
1.760 0.000 1.745
1.760 14.767 0.000
1.760 19.647 0.000
0.000 12.532 1.745
0.000 21.882 1.745
1.760 4.675 1.745
1.760 29.739 1.745

No. 3
Cu2NiW, optimized geometry, DFT GGA-PBE; ρ = 11.77 g/cm³; calculated volume = 13.040 Å³ per atom; offset from the most stable computed form = 7.15 kcal/mol of atoms; E_form = 1.67 eV/f.u.; total magnetization = 0.100 μB/atom
1.0
4.433 0.000 0.000
0.000 4.433 0.000
0.000 0.000 2.654
Cu Ni W
2 1 1
Cartesian
0.000 2.217 0.000
2.217 0.000 0.000
0.000 0.000 1.327
2.217 2.217 1.327

No. 4
SrCaEuZn, optimized geometry, DFT GGA-PBE; ρ = 4.05 g/cm³; calculated volume = 35.402 Å³ per atom; E_form = 0.27 eV/f.u.; total magnetization = 1.840 μB/atom
1.0
8.274 0.000 0.000
0.000 8.274 0.000
0.000 0.000 8.274
Sr Ca Eu Zn
4 4 4 4
Cartesian
0.000 0.000 0.000
0.000 4.137 4.137
4.137 0.000 4.137
4.137 4.137 0.000
2.069 2.069 2.069
2.069 6.206 6.206
6.206 2.069 6.206
6.206 6.206 2.069
0.000 0.000 4.137
0.000 4.137 0.000
4.137 0.000 0.000
4.137 4.137 4.137
2.069 2.069 6.206
2.069 6.206 2.069
6.206 2.069 2.069
6.206 6.206 6.206

No. 5
TiP2AuCl, optimized geometry, DFT GGA-PBE; ρ = 5.09 g/cm³; calculated volume = 22.343 Å³ per atom; offset from the most stable computed form = 16.09 kcal/mol of atoms; total magnetization = 0.019 μB/atom
1.0
4.804 0.000 0.000
0.000 4.804 0.000
0.000 0.000 4.840
Ti P Au Cl
1 2 1 1
Cartesian
0.000 0.000 0.000
0.000 2.402 2.420
2.402 0.000 2.420
2.402 2.402 2.420
2.402 2.402 0.000

No. 6
SmHo12In6, optimized geometry, DFT GGA-PBE; ρ = 7.58 g/cm³; calculated volume = 32.495 Å³ per atom; E_form = -0.66 eV/f.u.; total magnetization = 0.000 μB/atom
1.0
6.923 3.997 3.719
-6.923 3.997 3.719
0.000 -7.994 3.719
Sm Ho In
1 12 6
Cartesian
0.000 0.000 0.000
-2.608 -4.518 5.578
-5.217 0.000 5.578
-1.843 -1.064 3.975
1.843 -1.064 3.975
0.000 2.128 3.975
2.608 -4.518 5.578
-2.608 4.518 5.578
0.000 -2.128 7.181
-1.843 1.064 7.181
1.843 1.064 7.181
5.217 0.000 5.578
2.608 4.518 5.578
0.000 -3.653 4.414
-3.163 1.826 4.414
-3.163 -1.826 6.742
3.163 1.826 4.414
3.163 -1.826 6.742
0.000 3.653 6.742

No. 7
ScZnAgF6, optimized geometry, DFT GGA-PBE; ρ = 4.05 g/cm³; calculated volume = 15.125 Å³ per atom; E = -5.135 eV/atom; total magnetization = 0.010 μB/atom
1.0
5.531 0.000 0.000
-2.765 4.790 0.000
0.000 0.000 10.277
Sc Zn Ag F
2 2 2 12
Cartesian
0.000 3.193 2.569
2.765 1.597 7.708
0.000 3.193 7.708
2.765 1.597 2.569
0.000 0.000 0.000
0.000 0.000 5.139
-1.013 1.791 1.476
-1.721 3.016 3.662
1.013 1.791 3.662
-0.707 4.772 1.476
2.058 0.018 6.615
1.045 1.773 8.801
1.721 3.016 1.476
0.707 4.772 3.662
3.473 0.018 8.801
1.752 2.998 6.615
4.486 1.773 6.615
3.779 2.998 8.801

No. 8
ReP2Br, optimized geometry, DFT GGA-PBE; ρ = 6.66 g/cm³; calculated volume = 20.455 Å³ per atom; offset from the most stable computed form = 0.64 kcal/mol of atoms; total magnetization = 0.000 μB/atom
1.0
7.286 0.000 0.000
0.000 3.127 0.000
-2.598 0.000 7.183
Re P Br
2 4 2
Cartesian
0.000 0.000 0.000
3.643 1.563 0.000
-1.121 1.563 6.087
2.167 0.000 1.096
2.521 0.000 6.087
5.810 1.563 1.096
-1.299 1.563 3.591
2.344 0.000 3.591

No. 9
KYMn4, optimized geometry, DFT GGA-PBE; ρ = 4.60 g/cm³; calculated volume = 20.939 Å³ per atom; E_form = 4.30 eV/f.u.; total magnetization = 2.318 μB/atom
1.0
0.000 3.975 3.975
3.975 0.000 3.975
3.975 3.975 0.000
K Y Mn
1 1 4
Cartesian
0.000 0.000 0.000
1.988 1.988 1.988
4.930 3.020 3.020
3.020 4.930 3.020
3.020 3.020 4.930
4.930 4.930 4.930

No. 10
BeF, optimized geometry, DFT GGA-PBE; ρ = 1.09 g/cm³; calculated volume = 21.321 Å³ per atom; offset from the most stable computed form = 14.67 kcal/mol of atoms; total magnetization = 0.000 μB/atom
1.0
8.413 0.000 0.000
0.000 8.413 0.000
0.000 0.000 2.410
Be F
4 4
Cartesian
1.676 1.676 0.000
2.530 5.883 1.205
5.883 2.530 1.205
6.736 6.736 0.000
1.018 1.018 1.205
3.188 5.224 0.000
5.224 3.188 0.000
7.395 7.395 1.205

No. 11
In2NiSb, optimized geometry, DFT GGA-PBE; ρ = 7.81 g/cm³; calculated volume = 21.792 Å³ per atom; E = -3.569 eV/atom; total magnetization = 0.000 μB/atom
1.0
4.378 0.000 0.000
0.000 4.378 0.000
0.000 0.000 9.097
In Ni Sb
4 2 2
Cartesian
0.000 2.189 2.274
0.000 2.189 6.823
2.189 0.000 2.274
2.189 0.000 6.823
0.000 0.000 0.000
2.189 2.189 4.549
0.000 0.000 4.549
2.189 2.189 0.000

No. 12
Cs2Te, optimized geometry, DFT GGA-PBE; ρ = 4.38 g/cm³; calculated volume = 49.738 Å³ per atom; E = -2.536 eV/atom; total magnetization = 0.000 μB/atom
1.0
5.077 0.000 0.000
0.000 5.077 0.000
0.000 0.000 11.577
Cs Te
4 2
Cartesian
0.000 0.000 1.796
0.000 0.000 9.781
2.539 2.539 3.992
2.539 2.539 7.585
0.000 0.000 5.788
2.539 2.539 0.000

No. 13
AcSm5Ho2, optimized geometry, DFT GGA-PBE; ρ = 7.93 g/cm³; calculated volume = 34.243 Å³ per atom; E_form = 0.24 eV/f.u.; total magnetization = 0.000 μB/atom
1.0
7.305 0.000 0.000
0.000 14.612 0.000
0.000 0.000 5.133
Ac Sm Ho
2 10 4
Cartesian
0.000 0.000 0.000
3.652 7.306 0.000
0.000 7.306 0.000
0.016 3.692 0.000
1.791 9.169 2.567
1.861 1.863 2.567
3.636 10.998 0.000
3.652 0.000 0.000
3.669 3.614 0.000
5.443 12.749 2.567
5.514 5.443 2.567
7.288 10.920 0.000
1.818 5.442 2.567
1.835 12.748 2.567
5.470 1.864 2.567
5.487 9.170 2.567

No. 14
YCdSb2As, optimized geometry, DFT GGA-PBE; ρ = 4.76 g/cm³; calculated volume = 36.277 Å³ per atom; E = -3.719 eV/atom; total magnetization = 0.000 μB/atom
1.0
5.804 0.000 0.000
0.000 5.804 0.000
0.000 0.000 5.385
Y Cd Sb As
1 1 2 1
Cartesian
0.000 0.000 0.000
2.902 2.902 2.692
0.000 2.902 0.000
2.902 0.000 0.000
0.000 0.000 2.692

No. 15
KLi2Ge2, optimized geometry, DFT GGA-PBE; ρ = 3.20 g/cm³; calculated volume = 20.565 Å³ per atom; offset from the most stable computed form = 0.34 kcal/mol of atoms; E_form = -0.74 eV/f.u.; total magnetization = 0.000 μB/atom
1.0
8.170 0.000 0.000
0.000 8.170 0.000
0.000 0.000 3.081
K Li Ge
2 4 4
Cartesian
0.000 0.000 0.000
4.085 4.085 0.000
1.375 2.710 0.000
2.710 6.795 0.000
5.460 1.375 0.000
6.795 5.460 0.000
0.909 4.994 1.540
3.177 0.909 1.540
4.994 7.262 1.540
7.262 3.177 1.540

No. 16
HoTlIn2Br6, optimized geometry, DFT GGA-PBE; ρ = 4.49 g/cm³; calculated volume = 39.881 Å³ per atom; E = -3.437 eV/atom; total magnetization = 0.000 μB/atom
1.0
4.058 2.343 6.990
-4.058 2.343 6.990
0.000 -4.686 6.990
Ho Tl In Br
1 1 2 6
Cartesian
0.000 0.000 0.000
0.000 0.000 10.674
0.000 0.000 6.443
0.000 0.000 16.753
-0.903 -2.511 8.477
-2.856 -0.487 12.205
-1.723 2.038 8.477
1.850 -2.230 12.205
2.626 0.473 8.477
1.006 2.717 12.205

No. 17
Li2PaPdO5, optimized geometry, DFT GGA-PBE; ρ = 6.68 g/cm³; calculated volume = 11.915 Å³ per atom; E = -6.453 eV/atom; total magnetization = 0.092 μB/atom
1.0
-2.915 2.915 6.311
2.915 -2.915 6.311
2.915 2.915 -6.311
Li Pa Pd O
4 2 2 10
Cartesian
4.308 1.394 0.000
1.394 1.521 0.000
1.521 1.394 6.311
-1.394 1.521 6.311
0.000 0.000 3.156
0.000 0.000 9.467
2.915 0.000 3.156
0.000 2.915 3.156
0.000 0.000 0.000
4.173 1.259 -1.980
1.259 1.656 -1.980
4.173 1.259 1.980
1.259 1.656 1.980
0.000 0.000 6.311
1.656 1.259 4.332
-1.259 1.656 4.332
1.656 1.259 8.291
-1.259 1.656 8.291

No. 18
Pm2PrSm2, optimized geometry, DFT GGA-PBE; ρ = 6.90 g/cm³; calculated volume = 35.221 Å³ per atom; offset from the most stable computed form = 0.00 kcal/mol of atoms; E_form = 0.47 eV/f.u.; total magnetization = 0.000 μB/atom
1.0
9.640 0.000 0.000
0.000 9.640 0.000
0.000 0.000 3.790
Pm Pr Sm
4 2 4
Cartesian
1.660 3.160 0.000
3.160 7.980 0.000
6.480 1.660 0.000
7.980 6.480 0.000
0.000 0.000 1.895
4.820 4.820 1.895
1.216 6.036 1.895
3.604 1.216 1.895
6.036 8.424 1.895
8.424 3.604 1.895

No. 19
LaAuC, optimized geometry, DFT GGA-PBE; ρ = 9.20 g/cm³; calculated volume = 20.922 Å³ per atom; E_form = 0.29 eV/f.u.; total magnetization = 0.000 μB/atom
1.0
4.030 0.000 0.000
-1.693 4.390 0.000
-0.916 -1.010 7.096
La Au C
2 2 2
Cartesian
0.000 0.000 0.000
-0.076 1.101 4.450
0.095 3.650 2.885
2.040 1.822 1.634
1.087 0.579 6.564
2.084 3.061 3.394

No. 20
NaNbRu, optimized geometry, DFT GGA-PBE; ρ = 6.02 g/cm³; calculated volume = 19.956 Å³ per atom; offset from the most stable computed form = 6.81 kcal/mol of atoms; E_form = 1.03 eV/f.u.; total magnetization = 0.000 μB/atom
1.0
5.541 0.000 0.000
0.000 15.447 0.000
-0.177 0.000 2.798
Na Nb Ru
4 4 4
Cartesian
0.000 2.905 0.000
0.000 12.542 0.000
2.771 4.819 0.000
2.771 10.629 0.000
1.224 0.000 2.111
1.369 7.724 0.687
3.995 7.724 2.111
4.140 0.000 0.687
-0.089 5.837 1.399
-0.089 9.610 1.399
2.682 1.886 1.399
2.682 13.561 1.399

No. 21
AlZnOs2, optimized geometry, DFT GGA-PBE; ρ = 13.73 g/cm³; calculated volume = 14.298 Å³ per atom; E_form = 0.16 eV/f.u.; total magnetization = 0.000 μB/atom
1.0
8.592 0.000 0.000
0.000 2.766 0.000
-0.947 0.000 4.813
Al Zn Os
2 2 4
Cartesian
0.000 0.000 0.000
4.296 1.383 0.000
-0.474 1.383 2.406
3.823 0.000 2.406
1.845 1.383 1.230
1.503 0.000 3.583
6.142 0.000 1.230
5.800 1.383 3.583

No. 22
AcBePPt, optimized geometry, DFT GGA-PBE; ρ = 9.35 g/cm³; calculated volume = 20.516 Å³ per atom; E_form = -4.20 eV/f.u.; total magnetization = 0.000 μB/atom
1.0
4.295 0.000 0.000
0.000 4.295 0.000
0.000 0.000 8.897
Ac Be P Pt
2 2 2 2
Cartesian
1.074 1.074 1.733
3.221 3.221 7.164
1.074 1.074 5.438
3.221 3.221 3.459
1.074 1.074 7.566
3.221 3.221 1.331
1.074 3.221 4.449
3.221 1.074 4.449

No. 23
Tm2CuSe3, optimized geometry, DFT GGA-PBE; ρ = 7.97 g/cm³; calculated volume = 22.170 Å³ per atom; E = -5.163 eV/atom; total magnetization = 0.000 μB/atom
1.0
3.730 0.000 0.000
0.000 4.470 0.000
0.000 0.000 15.955
Tm Cu Se
4 2 6
Cartesian
0.000 0.000 2.233
0.000 0.000 13.721
1.865 2.235 5.744
1.865 2.235 10.211
0.000 0.000 7.977
1.865 2.235 0.000
0.000 0.000 5.127
0.000 0.000 10.827
0.000 2.235 7.977
1.865 0.000 0.000
1.865 2.235 2.850
1.865 2.235 13.105

No. 24
CsCd2SiTe4, optimized geometry, DFT GGA-PBE; ρ = 4.90 g/cm³; calculated volume = 37.990 Å³ per atom; E = -2.931 eV/atom; total magnetization = 0.000 μB/atom
1.0
0.000 5.608 4.891
5.541 0.000 4.891
5.541 5.608 0.000
Cs Cd Si Te
1 2 1 4
Cartesian
0.000 0.000 0.000
2.770 2.804 2.489
8.311 8.412 7.379
5.541 5.608 4.865
7.638 5.608 3.402
5.541 3.512 6.319
3.444 5.608 3.402
5.541 7.703 6.319